The following is a PBE calculation of crystalline LiMgTa2 at its relaxed geometry, from Alexandria via LeMat-Bulk.

Geometry as CIF:
```
data_LiMgTa2
_symmetry_space_group_name_H-M 'C m m m'
_symmetry_Int_Tables_number 65
_symmetry_space_group_name_Hall '-C 2 2'
_cell_length_a 3.116
_cell_length_b 4.548
_cell_length_c 10.381
_cell_angle_alpha 90.00
_cell_angle_beta 90.00
_cell_angle_gamma 90.00
loop_
_atom_site_label
_atom_site_fract_x
_atom_site_fract_y
_atom_site_fract_z
Li1 0.000 0.000 0.000
Mg1 0.000 0.000 0.500
Ta1 0.000 0.500 0.252
```

## Properties
final energy	-51.39	eV/cell